This record from Alexandria describes an optimized crystal structure of TaZn3Ir. The functional is PBE-GGA.

The structure in extended XYZ format:
```
5
Lattice="4.8353 0.0000 0.0000 0.0000 4.8353 0.0000 0.0000 0.0000 4.8353" Properties=species:S:1:pos:R:3 pbc="T T T"
Ta 0.0000 0.0000 0.0000
Zn 0.0000 0.0000 2.4177
Zn 0.0000 2.4177 0.0000
Zn 2.4177 0.0000 0.0000
Ir 2.4177 2.4177 2.4177
```

## Properties
DOS(E_F) in states/eV/cell: 4.61
Energy in eV for the cell shown: -15.40
Space-group type: Pm-3m, No. 221